1.
A plane-wave DFT calculation with GGA-PBE was carried out for a geometry-optimized YSnBr5 structure.

Lattice parameters (Å, degrees): 8.4160 4.2716 13.9543 90.00 94.11 90.00
Space group P2_1/m (No. 11)
Symmetry-distinct sites (fractional):
Y 0.0888 0.2500 0.1464 x2
Sn 0.4047 0.7500 0.3647 x2
Br 0.1054 0.2500 0.7972 x2
Br 0.1453 0.2500 0.3594 x2
Br 0.1768 0.7500 0.0138 x2
Br 0.3532 0.7500 0.5680 x2
Br 0.4174 0.2500 0.1794 x2

Output
E_tot: -4.0503 eV/atom

=====

2.
A plane-wave DFT calculation with GGA-PBE was carried out for a geometry-optimized Pr2DyAg structure.

Lattice parameters (Å, degrees): 5.2514 5.2514 17.5628 90.00 90.00 90.00
Space group I4/mmm (No. 139)
Symmetry-distinct sites (fractional):
Pr 0.0000 0.0000 0.1401 x4
Pr 0.0000 0.5000 0.0000 x4
Dy 0.0000 0.0000 0.3497 x4
Ag 0.0000 0.5000 0.2500 x4

Output
E_tot: -4.3703 eV/atom
energy of formation from the pure elements: -0.117 eV/atom

=====

3.
A plane-wave DFT calculation with GGA-PBE was carried out for a geometry-optimized Ca2PmAg2Pb2 structure.

Lattice parameters (Å, degrees): 4.9442 4.9442 26.8207 90.00 90.00 120.00
Space group R-3m (No. 166, hexagonal axes)
Symmetry-distinct sites (fractional):
Ca 0.0000 0.0000 0.1354 x6
Pm 0.0000 0.0000 0.0000 x3
Ag 0.0000 0.0000 0.4321 x6
Pb 0.0000 0.0000 0.2673 x6

Output
E_tot: -3.4409 eV/atom
energy of formation from the pure elements: -0.316 eV/atom

=====

4.
A plane-wave DFT calculation with GGA-PBE was carried out for a geometry-optimized AcPr2NdTl4 structure.

Lattice parameters (Å, degrees): 5.6316 5.6316 27.6018 90.00 90.00 120.00
Space group R-3m (No. 166, hexagonal axes)
Symmetry-distinct sites (fractional):
Ac 0.0000 0.0000 0.0000 x3
Pr 0.0000 0.0000 0.2496 x6
Nd 0.0000 0.0000 0.5000 x3
Tl 0.0000 0.0000 0.1273 x6
Tl 0.0000 0.0000 0.3778 x6

Output
E_tot: -3.8535 eV/atom
energy of formation from the pure elements: -0.366 eV/atom

=====

5.
A plane-wave DFT calculation with GGA-PBE was carried out for a geometry-optimized In2AuO structure.

Lattice parameters (Å, degrees): 6.4527 6.4527 8.0899 90.00 90.00 90.00
Space group I-42d (No. 122)
Symmetry-distinct sites (fractional):
In 0.1900 0.2500 0.1250 x8
Au 0.0000 0.0000 0.5000 x4
O 0.0000 0.0000 0.0000 x4

Output
E_tot: -3.9813 eV/atom

=====

6.
A plane-wave DFT calculation with GGA-PBE was carried out for a geometry-optimized USiI structure.

Lattice parameters (Å, degrees): 5.0711 5.3248 12.2136 90.00 94.30 90.00
Space group C2/m (No. 12)
Symmetry-distinct sites (fractional):
U 0.1987 0.0000 0.1731 x4
Si 0.1912 0.5000 0.0573 x4
I 0.2236 0.5000 0.3433 x4

Output
E_tot: -6.2961 eV/atom

=====

7.
A plane-wave DFT calculation with GGA-PBE was carried out for a geometry-optimized Fe7Pd6Rh16 structure.

Lattice parameters (Å, degrees): 11.9224 11.9224 11.9224 90.00 90.00 90.00
Space group Fm-3m (No. 225)
Symmetry-distinct sites (fractional):
Fe 0.0000 0.0000 0.0000 x4
Fe 0.0000 0.2500 0.2500 x24
Pd 0.0000 0.0000 0.3100 x24
Rh 0.1164 0.1164 0.1164 x32
Rh 0.1668 0.1668 0.3332 x32

Output
E_tot: -7.0338 eV/atom
energy of formation from the pure elements: 0.139 eV/atom

=====

8.
A plane-wave DFT calculation with GGA-PBE was carried out for a geometry-optimized SrIn3Ag3 structure.

Lattice parameters (Å, degrees): 7.6345 7.6345 7.6345 90.00 90.00 90.00
Space group Pm-3n (No. 223)
Symmetry-distinct sites (fractional):
Sr 0.0000 0.0000 0.0000 x2
In 0.0000 0.2500 0.5000 x6
Ag 0.0000 0.5000 0.2500 x6

Output
E_tot: -2.5143 eV/atom
energy of formation from the pure elements: 0.122 eV/atom

=====

9.
A plane-wave DFT calculation with GGA-PBE was carried out for a geometry-optimized AlTcGeIr structure.

Lattice parameters (Å, degrees): 6.0876 6.0876 6.0876 90.00 90.00 90.00
Space group F-43m (No. 216)
Symmetry-distinct sites (fractional):
Al 0.0000 0.0000 0.0000 x4
Tc 0.2500 0.2500 0.2500 x4
Ge 0.0000 0.0000 0.5000 x4
Ir 0.2500 0.2500 0.7500 x4

Output
E_tot: -7.3003 eV/atom
energy of formation from the pure elements: -0.404 eV/atom

=====

10.
A plane-wave DFT calculation with GGA-PBE was carried out for a geometry-optimized PaAlNi2 structure.

Lattice parameters (Å, degrees): 4.2287 4.2287 12.6679 90.00 90.00 120.00
Space group R-3m (No. 166, hexagonal axes)
Symmetry-distinct sites (fractional):
Pa 0.0000 0.0000 0.0000 x3
Al 0.0000 0.0000 0.5000 x3
Ni 0.0000 0.0000 0.2134 x6

Output
E_tot: -6.7104 eV/atom
energy of formation from the pure elements: -0.510 eV/atom

=====

11.
A plane-wave DFT calculation with GGA-PBE was carried out for a geometry-optimized Sr3CoRe structure.

Lattice parameters (Å, degrees): 5.5164 5.5164 5.5164 90.00 90.00 90.00
Space group Pm-3m (No. 221)
Symmetry-distinct sites (fractional):
Sr 0.0000 0.0000 0.5000 x3
Co 0.0000 0.0000 0.0000 x1
Re 0.5000 0.5000 0.5000 x1

Output
E_tot: -3.6854 eV/atom
energy of formation from the pure elements: 1.235 eV/atom

=====

12.
A plane-wave DFT calculation with GGA-PBE was carried out for a geometry-optimized Pr4PdCI2 structure.

Lattice parameters (Å, degrees): 7.4304 4.0486 8.1595 90.00 106.34 90.00
Space group P2/m (No. 10)
Symmetry-distinct sites (fractional):
Pr 0.1996 0.0000 0.1789 x2
Pr 0.2386 0.5000 0.8168 x2
Pd 0.5000 0.0000 0.0000 x1
C 0.0000 0.5000 0.0000 x1
I 0.0000 0.0000 0.5000 x1
I 0.5000 0.5000 0.5000 x1

Output
E_tot: -5.2798 eV/atom

=====

13.
A plane-wave DFT calculation with GGA-PBE was carried out for a geometry-optimized SbWCl2 structure.

Lattice parameters (Å, degrees): 6.0630 9.0291 2.9663 90.00 90.00 90.00
Space group Cmmm (No. 65)
Symmetry-distinct sites (fractional):
Sb 0.0000 0.0000 0.0000 x2
W 0.0000 0.5000 0.0000 x2
Cl 0.2500 0.2500 0.5000 x4

Output
E_tot: -4.2238 eV/atom

=====

14.
A plane-wave DFT calculation with GGA-PBE was carried out for a geometry-optimized Cs3RhO structure.

Lattice parameters (Å, degrees): 5.8707 5.8707 5.8707 90.00 90.00 90.00
Space group Pm-3m (No. 221)
Symmetry-distinct sites (fractional):
Cs 0.0000 0.0000 0.5000 x3
Rh 0.5000 0.5000 0.5000 x1
O 0.0000 0.0000 0.0000 x1

Output
E_tot: -2.8729 eV/atom

=====

15.
A plane-wave DFT calculation with GGA-PBE was carried out for a geometry-optimized Ba3ScZn2S6 structure.

Lattice parameters (Å, degrees): 7.2068 7.2068 7.8661 90.00 90.00 120.00
Space group P-3m1 (No. 164)
Symmetry-distinct sites (fractional):
Ba 0.0000 0.0000 0.0000 x1
Ba 0.3333 0.6667 0.6284 x2
Sc 0.0000 0.0000 0.5000 x1
Zn 0.3333 0.6667 0.1931 x2
S 0.1645 0.3290 0.3032 x6

Output
E_tot: -4.6760 eV/atom

=====

16.
A plane-wave DFT calculation with GGA-PBE was carried out for a geometry-optimized Ac3CeNd12 structure.

Lattice parameters (Å, degrees): 5.2727 5.2727 21.0597 90.00 90.00 90.00
Space group P4/mmm (No. 123)
Symmetry-distinct sites (fractional):
Ac 0.0000 0.0000 0.0000 x1
Ac 0.0000 0.0000 0.2535 x2
Ce 0.0000 0.0000 0.5000 x1
Nd 0.0000 0.5000 0.1271 x4
Nd 0.0000 0.5000 0.3819 x4
Nd 0.5000 0.5000 0.0000 x1
Nd 0.5000 0.5000 0.2537 x2
Nd 0.5000 0.5000 0.5000 x1

Output
E_tot: -4.6800 eV/atom
energy of formation from the pure elements: 0.037 eV/atom

=====

17.
A plane-wave DFT calculation with GGA-PBE was carried out for a geometry-optimized USnOs2 structure.

Lattice parameters (Å, degrees): 6.6805 6.6805 6.6805 90.00 90.00 90.00
Space group Fm-3m (No. 225)
Symmetry-distinct sites (fractional):
U 0.0000 0.0000 0.0000 x4
Sn 0.0000 0.0000 0.5000 x4
Os 0.2500 0.2500 0.2500 x8

Output
E_tot: -9.3019 eV/atom
energy of formation from the pure elements: 0.136 eV/atom

=====

18.
A plane-wave DFT calculation with GGA-PBE was carried out for a geometry-optimized RbVCr2Br8 structure.

Lattice parameters (Å, degrees): 6.7890 6.7890 29.0013 90.00 90.00 120.00
Space group R-3 (No. 148, hexagonal axes)
Symmetry-distinct sites (fractional):
Rb 0.0000 0.0000 0.0000 x3
V 0.0000 0.0000 0.5000 x3
Cr 0.0000 0.0000 0.2326 x6
Br 0.0000 0.0000 0.3153 x6
Br 0.0121 0.6416 0.2186 x18

Output
E_tot: -4.3589 eV/atom

=====

19.
A plane-wave DFT calculation with GGA-PBE was carried out for a geometry-optimized PaSi2Mo2 structure.

Lattice parameters (Å, degrees): 3.4964 12.1794 8.2063 90.00 90.00 90.00
Space group Cmc2_1 (No. 36)
Symmetry-distinct sites (fractional):
Pa 0.0000 0.0909 0.0000 x4
Si 0.0000 0.2466 0.3062 x4
Si 0.0000 0.4397 0.1891 x4
Mo 0.0000 0.2001 0.6014 x4
Mo 0.0000 0.3921 0.8679 x4

Output
E_tot: -8.8412 eV/atom

=====

20.
A plane-wave DFT calculation with GGA-PBE was carried out for a geometry-optimized Pu2MgIn8 structure.

Lattice parameters (Å, degrees): 4.8182 4.8182 12.2044 90.00 90.00 90.00
Space group P4/mmm (No. 123)
Symmetry-distinct sites (fractional):
Pu 0.0000 0.0000 0.1860 x2
Mg 0.0000 0.0000 0.5000 x1
In 0.0000 0.5000 0.0000 x2
In 0.0000 0.5000 0.3631 x4
In 0.5000 0.5000 0.1854 x2

Output
E_tot: -4.8992 eV/atom
energy of formation from the pure elements: -0.157 eV/atom

=====

21.
A plane-wave DFT calculation with GGA-PBE was carried out for a geometry-optimized DyHo7Tm12 structure.

Lattice parameters (Å, degrees): 11.1020 11.1020 11.1020 90.00 90.00 90.00
Space group Im-3m (No. 229)
Symmetry-distinct sites (fractional):
Dy 0.0000 0.0000 0.0000 x2
Ho 0.0000 0.0000 0.5000 x6
Ho 0.2500 0.2500 0.2500 x8
Tm 0.0000 0.2504 0.2504 x24

Output
E_tot: -3.7639 eV/atom
energy of formation from the pure elements: 0.751 eV/atom

=====

22.
A plane-wave DFT calculation with GGA-PBE was carried out for a geometry-optimized Zr3InIr structure.

Lattice parameters (Å, degrees): 5.0724 5.0724 5.0724 90.00 90.00 90.00
Space group Pm-3m (No. 221)
Symmetry-distinct sites (fractional):
Zr 0.0000 0.0000 0.5000 x3
In 0.5000 0.5000 0.5000 x1
Ir 0.0000 0.0000 0.0000 x1

Output
E_tot: -7.4238 eV/atom
energy of formation from the pure elements: 0.025 eV/atom

=====

23.
A plane-wave DFT calculation with GGA-PBE was carried out for a geometry-optimized Tb2PmNd structure.

Lattice parameters (Å, degrees): 3.6858 5.9129 12.5320 90.00 90.00 90.00
Space group Amm2 (No. 38)
Symmetry-distinct sites (fractional):
Tb 0.0000 0.0000 0.0000 x2
Tb 0.5000 0.0000 0.2249 x2
Pm 0.5000 0.0000 0.4985 x2
Nd 0.0000 0.0000 0.7261 x2

Output
E_tot: -4.5053 eV/atom
energy of formation from the pure elements: 0.189 eV/atom